# Cd2Hg2WO6

A relaxed structure of Cd2Hg2WO6 (PBE+U, Alexandria via LeMat-Bulk).

Cell: 5.8144 5.8144 6.7240 Å, 87.81 87.81 120.83°
Closest atoms and distances in Å follow each position.
Fractional positions:
Cd: 0.6641 0.3359 0.5000  6 O 2.34-2.39
O: 0.2948 0.2948 0.3425  1 W 1.93
O: 0.2685 0.9826 0.6662  1 W 2.00
Hg: 0.1989 0.8011 0.0000  2 O 2.37
O: 0.7052 0.7052 0.6575  1 W 1.93
W: 0.0000 0.0000 0.5000  6 O 1.93-2.00
O: 0.0174 0.7315 0.3338  1 W 2.00
Cd: 0.3359 0.6641 0.5000  6 O 2.34-2.39
Hg: 0.8011 0.1989 0.0000  2 O 2.37
O: 0.7315 0.0174 0.3338  1 W 2.00
O: 0.9826 0.2685 0.6662  1 W 2.00

Output
Space-group type: C2/m (12)
Total DFT energy (no corrections) (eV/atom): -4.60
Crystal system: monoclinic